(1)
## Pm3MgPt2 (PBE)

Data for a relaxed structure of Pm3MgPt2.

The space group is Ibam (No. 72) and the conventional cell measures 6.814, 13.420 and 7.357 Å, with angles of 90.00, 90.00 and 90.00 degrees. The distinct sites, in fractional coordinates, are Pm at (0.000, 0.000, 0.250), Pm at (0.000, 0.278, 0.250), Mg at (0.000, 0.500, 0.000) and Pt at (0.208, 0.137, 0.000).

Its formation energy is -804 meV/atom. The calculation puts the total energy at -32.75 eV per formula unit.



(2)
## YCd2Re (PBE)

Data for a relaxed structure of YCd2Re.

The space group is I4/mmm (No. 139) and the conventional cell measures 4.274, 4.274 and 8.963 Å, with angles of 90.00, 90.00 and 90.00 degrees. The distinct sites, in fractional coordinates, are Y at (0.000, 0.000, 0.000), Cd at (0.000, 0.500, 0.250) and Re at (0.000, 0.000, 0.500).

Its formation energy is 240 meV/atom. The offset from the most stable computed form comes out at 0 meV per atom. The calculation puts the total energy at -19.78 eV per formula unit.



(3)
## MoOsRu (PBE)

Data for a relaxed structure of MoOsRu.

The space group is I4mm (No. 107) and the conventional cell measures 2.739, 2.739 and 11.779 Å, with angles of 90.00, 90.00 and 90.00 degrees. The distinct sites, in fractional coordinates, are Mo at (0.000, 0.000, 0.000), Os at (0.000, 0.000, 0.672) and Ru at (0.000, 0.000, 0.328).

Its formation energy is 83 meV/atom. The offset from the most stable computed form comes out at 0 meV per atom. The calculation puts the total energy at -31.09 eV per formula unit.



(4)
## SnTeWN2 (PBE)

Data for a relaxed structure of SnTeWN2.

The space group is P4/mmm (No. 123) and the conventional cell measures 4.081, 4.081 and 5.601 Å, with angles of 90.00, 90.00 and 90.00 degrees. The distinct sites, in fractional coordinates, are Sn at (0.000, 0.000, 0.000), Te at (0.500, 0.500, 0.000), W at (0.500, 0.500, 0.500) and N at (0.000, 0.500, 0.500).

The value obtained for the energy relative to the elements, uncorrected is 241.6 kJ/mol of formula units. The offset from the most stable computed form comes out at 0 meV per atom. The calculation puts the total energy at -34.24 eV per formula unit.



(5)
## NdSmY2 (PBE)

Data for a relaxed structure of NdSmY2.

The space group is Imm2 (No. 44) and the conventional cell measures 3.675, 11.574 and 6.351 Å, with angles of 90.00, 90.00 and 90.00 degrees. The distinct sites, in fractional coordinates, are Nd at (0.000, 0.000, 0.000), Sm at (0.000, 0.500, 0.999) and Y at (0.000, 0.249, 0.666).

Its formation energy is 25 meV/atom. The offset from the most stable computed form comes out at 14 meV per atom. The calculation puts the total energy at -22.32 eV per formula unit.



(6)
## RbAlS2 (PBE)

Data for a relaxed structure of RbAlS2.

The space group is Pnma (No. 62) and the conventional cell measures 7.088, 5.140 and 10.717 Å, with angles of 90.00, 90.00 and 90.00 degrees. The distinct sites, in fractional coordinates, are Rb at (0.104, 0.250, 0.122), Al at (0.037, 0.750, 0.374), S at (0.066, 0.250, 0.426) and S at (0.156, 0.250, 0.797).

The value obtained for the energy relative to the elements, uncorrected is -427.9 kJ/mol of formula units. The calculation puts the total energy at -17.40 eV per formula unit.



(7)
## Rb2HfNbO6 (PBE)

Data for a relaxed structure of Rb2HfNbO6.

The space group is R-3m (No. 166, hexagonal axes) and the conventional cell measures 6.1043, 6.1043 and 29.8206 Å, with angles of 90.00, 90.00 and 120.00 degrees. The distinct sites, in fractional coordinates, are Rb at (0.0000, 0.0000, 0.1306), Rb at (0.0000, 0.0000, 0.2803), Hf at (0.0000, 0.0000, 0.4017), Nb at (0.0000, 0.0000, 0.0000), Nb at (0.0000, 0.0000, 0.5000), O at (0.0118, 0.5059, 0.7046) and O at (0.0484, 0.5242, 0.1220).

The value obtained for the energy relative to the elements, uncorrected is -2301.7 kJ/mol of formula units. The calculation puts the total energy at -75.56 eV per formula unit.



(8)
## TcO2F (PBE)

Data for a relaxed structure of TcO2F.

The space group is Cc (No. 9) and the conventional cell measures 9.301, 5.536 and 5.524 Å, with angles of 90.00, 126.44 and 90.00 degrees. The distinct sites, in fractional coordinates, are Tc at (0.000, 0.219, 0.000), O at (0.001, 0.006, 0.255), O at (0.250, 0.252, 0.249) and F at (0.499, 0.008, 0.239).

The value obtained for the energy relative to the elements, uncorrected is -633.6 kJ/mol of formula units. The offset from the most stable computed form comes out at 0 meV per atom. The calculation puts the total energy at -28.72 eV per formula unit.



(9)
## Sm2TmRh3 (PBE)

Data for a relaxed structure of Sm2TmRh3.

The space group is P-3m1 (No. 164) and the conventional cell measures 4.8932, 4.8932 and 11.9790 Å, with angles of 90.00, 90.00 and 120.00 degrees. The distinct sites, in fractional coordinates, are Sm at (0.0000, 0.0000, 0.0000), Sm at (0.0000, 0.0000, 0.5000), Sm at (0.3333, 0.6667, 0.1701), Tm at (0.3333, 0.6667, 0.6645), Rh at (0.0000, 0.0000, 0.2545), Rh at (0.3333, 0.6667, 0.4171) and Rh at (0.3333, 0.6667, 0.9114).

Its formation energy is -795 meV/atom. The calculation puts the total energy at -40.73 eV per formula unit.



(10)
## CrTcIr2 (PBE)

Data for a relaxed structure of CrTcIr2.

The space group is F-43m (No. 216) and the conventional cell measures 6.104, 6.104 and 6.104 Å, with angles of 90.00, 90.00 and 90.00 degrees. The distinct sites, in fractional coordinates, are Cr at (0.000, 0.000, 0.000), Tc at (0.250, 0.250, 0.750), Ir at (0.000, 0.000, 0.500) and Ir at (0.250, 0.250, 0.250).

Its formation energy is 286 meV/atom. The offset from the most stable computed form comes out at 544 meV per atom. The calculation puts the total energy at -36.57 eV per formula unit.



(11)
## Hg2RuRh (PBE)

Data for a relaxed structure of Hg2RuRh.

The space group is R-3m (No. 166, hexagonal axes) and the conventional cell measures 2.9848, 2.9848 and 27.3452 Å, with angles of 90.00, 90.00 and 120.00 degrees. The distinct sites, in fractional coordinates, are Hg at (0.0000, 0.0000, 0.2492), Ru at (0.0000, 0.0000, 0.0000) and Rh at (0.0000, 0.0000, 0.5000).

Its formation energy is 456 meV/atom. The offset from the most stable computed form comes out at 195 meV per atom. The calculation puts the total energy at -15.41 eV per formula unit.



(12)
## Ca2CdAu3 (PBE)

Data for a relaxed structure of Ca2CdAu3.

The space group is Fmmm (No. 69) and the conventional cell measures 7.116, 9.690 and 16.502 Å, with angles of 90.00, 90.00 and 90.00 degrees. The distinct sites, in fractional coordinates, are Ca at (0.245, 0.000, 0.000), Ca at (0.250, 0.250, 0.250), Cd at (0.000, 0.000, 0.333), Au at (0.000, 0.000, 0.166) and Au at (0.000, 0.248, 0.415).

Its formation energy is -626 meV/atom. The offset from the most stable computed form comes out at 40 meV per atom. The calculation puts the total energy at -18.50 eV per formula unit.



Number 1: N(E_F) 0.8322 states/eV per atom. Number 2: N(E_F) 1.0411 states/eV per atom. Number 3: N(E_F) 1.0464 states/eV per atom. Number 4: N(E_F) 0.4257 states/eV per atom. Number 5: N(E_F) 1.9240 states/eV per atom. Number 6: N(E_F) 0.0000 states/eV per atom. Number 7: N(E_F) 0.5604 states/eV per atom. Number 8: N(E_F) 0.7450 states/eV per atom. Number 9: N(E_F) 0.7552 states/eV per atom. Number 10: N(E_F) 1.6873 states/eV per atom. Number 11: N(E_F) 1.0289 states/eV per atom. Number 12: N(E_F) 0.4590 states/eV per atom.